# CoPd | the Open Quantum Materials Database | PBE-GGA | relaxed
data_CoPd
_chemical_formula_sum 'Co6 Pd6'
_cell_length_a 4.785
_cell_length_b 4.785
_cell_length_c 8.146
_cell_angle_alpha 90.00
_cell_angle_beta 90.00
_cell_angle_gamma 120.00
_space_group_name_H-M_alt 'P 1'
_space_group_IT_number 1
loop_
_space_group_symop_operation_xyz
'x,y,z'
loop_
_atom_site_label
_atom_site_type_symbol
_atom_site_fract_x
_atom_site_fract_y
_atom_site_fract_z
Co1 Co 0.174 0.348 0.250
Co2 Co 0.174 0.826 0.250
Co3 Co 0.348 0.174 0.750
Co4 Co 0.652 0.826 0.250
Co5 Co 0.826 0.174 0.750
Co6 Co 0.826 0.652 0.750
Pd1 Pd 0.000 0.000 0.000
Pd2 Pd 0.000 0.000 0.500
Pd3 Pd 0.333 0.667 0.575
Pd4 Pd 0.333 0.667 0.925
Pd5 Pd 0.667 0.333 0.075
Pd6 Pd 0.667 0.333 0.425
# theoretical density: 10.2 Mg/m³
# electronic total energy: -6.0563 eV per atom
# crystal system: hexagonal
# ΔH_f (0 K): 0.085 eV/atom

---

# Co2Pd3 | the Open Quantum Materials Database | PBE-GGA | relaxed
data_Co2Pd3
_chemical_formula_sum 'Co4 Pd6'
_cell_length_a 5.504
_cell_length_b 5.504
_cell_length_c 5.504
_cell_angle_alpha 68.14
_cell_angle_beta 68.14
_cell_angle_gamma 68.14
_space_group_name_H-M_alt 'P 1'
_space_group_IT_number 1
loop_
_space_group_symop_operation_xyz
'x,y,z'
loop_
_atom_site_label
_atom_site_type_symbol
_atom_site_fract_x
_atom_site_fract_y
_atom_site_fract_z
Co1 Co 0.086 0.086 0.086
Co2 Co 0.414 0.414 0.414
Co3 Co 0.586 0.586 0.586
Co4 Co 0.914 0.914 0.914
Pd1 Pd 0.002 0.750 0.498
Pd2 Pd 0.250 0.502 0.998
Pd3 Pd 0.498 0.002 0.750
Pd4 Pd 0.502 0.998 0.250
Pd5 Pd 0.750 0.498 0.002
Pd6 Pd 0.998 0.250 0.502
# theoretical density: 10.5 Mg/m³
# electronic total energy: -5.5609 eV per atom
# crystal system: trigonal
# ΔH_f (0 K): 0.387 eV/atom

---

# PmCoPd | the Open Quantum Materials Database | PBE-GGA | relaxed
data_PmCoPd
_chemical_formula_sum 'Pm4 Co4 Pd4'
_cell_length_a 6.389
_cell_length_b 6.389
_cell_length_c 6.389
_cell_angle_alpha 90.00
_cell_angle_beta 90.00
_cell_angle_gamma 90.00
_space_group_name_H-M_alt 'P 1'
_space_group_IT_number 1
loop_
_space_group_symop_operation_xyz
'x,y,z'
loop_
_atom_site_label
_atom_site_type_symbol
_atom_site_fract_x
_atom_site_fract_y
_atom_site_fract_z
Pm1 Pm 0.000 0.000 0.000
Pm2 Pm 0.000 0.500 0.500
Pm3 Pm 0.500 0.000 0.500
Pm4 Pm 0.500 0.500 0.000
Co1 Co 0.250 0.250 0.750
Co2 Co 0.250 0.750 0.250
Co3 Co 0.750 0.250 0.250
Co4 Co 0.750 0.750 0.750
Pd1 Pd 0.250 0.250 0.250
Pd2 Pd 0.250 0.750 0.750
Pd3 Pd 0.750 0.250 0.750
Pd4 Pd 0.750 0.750 0.250
# theoretical density: 7.9 Mg/m³
# electronic total energy: -5.2560 eV per atom
# crystal system: cubic
# ΔH_f (0 K): 0.420 eV/atom
# distance to the lowest polymorph of the same formula: 0.3694 eV/atom